# 1
First-principles (SCAN) data for a crystal of BeAu2Se relaxed with PBEsol, as listed in Alexandria. Values from VASP.

Structure (Quantum ESPRESSO input):
```
&SYSTEM
  ibrav = 0, nat = 8, ntyp = 3
/
ATOMIC_SPECIES
Be 9.01 Be.upf
Au 196.97 Au.upf
Se 78.96 Se.upf
CELL_PARAMETERS angstrom
3.224 0.000 0.000
0.000 3.489 0.000
0.000 0.000 11.524
ATOMIC_POSITIONS crystal
Be 0.000 0.000 0.000
Be 0.500 0.500 0.500
Au 0.000 0.500 0.315
Au 0.000 0.500 0.685
Au 0.500 0.000 0.185
Au 0.500 0.000 0.815
Se 0.000 0.000 0.500
Se 0.500 0.500 0.000
```

Computed properties:
Offset from the most stable computed form   81 meV per atom
Density of states at the Fermi level   0.238 states/eV/atom
Energy relative to the elements, uncorrected   0.06 eV/atom
Crystal system   orthorhombic

***

# 2
First-principles (SCAN) data for a crystal of ZrRe2AgPb relaxed with PBEsol, as listed in Alexandria. Values from VASP.

Structure (Quantum ESPRESSO input):
```
&SYSTEM
  ibrav = 0, nat = 5, ntyp = 4
/
ATOMIC_SPECIES
Zr 91.22 Zr.upf
Re 186.21 Re.upf
Ag 107.87 Ag.upf
Pb 207.20 Pb.upf
CELL_PARAMETERS angstrom
4.811 0.000 0.000
0.000 4.811 0.000
0.000 0.000 4.877
ATOMIC_POSITIONS crystal
Zr 0.000 0.000 0.000
Re 0.000 0.500 0.500
Re 0.500 0.000 0.500
Ag 0.000 0.000 0.500
Pb 0.500 0.500 0.000
```

Computed properties:
Density of states at the Fermi level   0.730 states/eV/atom
Energy of formation from the pure elements   2.04 eV/atom
Crystal system   tetragonal

***

# 3
First-principles (SCAN) data for a crystal of SrCaCuP2O8 relaxed with PBEsol, as listed in Alexandria. Values from VASP.

Structure (Quantum ESPRESSO input):
```
&SYSTEM
  ibrav = 0, nat = 26, ntyp = 5
/
ATOMIC_SPECIES
Sr 87.62 Sr.upf
Ca 40.08 Ca.upf
Cu 63.55 Cu.upf
P 30.97 P.upf
O 16.00 O.upf
CELL_PARAMETERS angstrom
5.822 0.000 0.000
-0.944 6.694 0.000
-2.110 -3.172 8.263
ATOMIC_POSITIONS crystal
Sr 0.208 0.193 0.426
Sr 0.792 0.807 0.574
Ca 0.478 0.581 0.832
Ca 0.522 0.419 0.168
Cu 0.148 0.844 0.040
Cu 0.852 0.156 0.960
P 0.122 0.586 0.271
P 0.349 0.032 0.792
P 0.651 0.968 0.208
P 0.878 0.414 0.729
O 0.091 0.455 0.661
O 0.100 0.402 0.108
O 0.133 0.799 0.239
O 0.153 0.924 0.852
O 0.236 0.994 0.615
O 0.366 0.583 0.383
O 0.431 0.083 0.187
O 0.453 0.271 0.898
O 0.547 0.729 0.102
O 0.569 0.917 0.813
O 0.634 0.417 0.617
O 0.764 0.006 0.385
O 0.847 0.076 0.148
O 0.867 0.201 0.761
O 0.900 0.598 0.892
O 0.909 0.545 0.339
```

Computed properties:
Density of states at the Fermi level   0.000 states/eV/atom
Energy relative to the elements, uncorrected   -2.71 eV/atom
Crystal system   triclinic

***

# 4
First-principles (SCAN) data for a crystal of Fe3Co relaxed with PBEsol, as listed in Alexandria. Values from VASP.

Structure (Quantum ESPRESSO input):
```
&SYSTEM
  ibrav = 0, nat = 8, ntyp = 2
/
ATOMIC_SPECIES
Fe 55.84 Fe.upf
Co 58.93 Co.upf
CELL_PARAMETERS angstrom
2.787 0.000 0.000
0.000 2.787 0.000
0.000 0.000 11.159
ATOMIC_POSITIONS crystal
Fe 0.250 0.250 0.063
Fe 0.250 0.250 0.314
Fe 0.250 0.250 0.814
Fe 0.750 0.750 0.186
Fe 0.750 0.750 0.686
Fe 0.750 0.750 0.937
Co 0.250 0.250 0.564
Co 0.750 0.750 0.436
```

Computed properties:
Density of states at the Fermi level   0.548 states/eV/atom
Energy of formation from the pure elements   -0.08 eV/atom
Crystal system   tetragonal

***

# 5
First-principles (SCAN) data for a crystal of MgTl3Cd relaxed with PBEsol, as listed in Alexandria. Values from VASP.

Structure (Quantum ESPRESSO input):
```
&SYSTEM
  ibrav = 0, nat = 5, ntyp = 3
/
ATOMIC_SPECIES
Mg 24.30 Mg.upf
Tl 204.38 Tl.upf
Cd 112.41 Cd.upf
CELL_PARAMETERS angstrom
5.536 0.000 0.000
0.000 5.536 0.000
0.000 0.000 5.536
ATOMIC_POSITIONS crystal
Mg 0.000 0.000 0.000
Tl 0.000 0.500 0.500
Tl 0.500 0.000 0.500
Tl 0.500 0.500 0.000
Cd 0.500 0.500 0.500
```

Computed properties:
Density of states at the Fermi level   0.512 states/eV/atom
Energy of formation from the pure elements   0.38 eV/atom
Crystal system   cubic

***

# 6
First-principles (SCAN) data for a crystal of NbAsO2 relaxed with PBEsol, as listed in Alexandria. Values from VASP.

Structure (Quantum ESPRESSO input):
```
&SYSTEM
  ibrav = 0, nat = 12, ntyp = 3
/
ATOMIC_SPECIES
Nb 92.91 Nb.upf
As 74.92 As.upf
O 16.00 O.upf
CELL_PARAMETERS angstrom
2.990 0.000 0.000
-1.495 2.589 0.000
0.000 0.000 20.758
ATOMIC_POSITIONS crystal
Nb 0.000 0.000 0.000
Nb 0.333 0.667 0.667
Nb 0.667 0.333 0.333
As 0.000 0.000 0.500
As 0.333 0.667 0.167
As 0.667 0.333 0.833
O 0.000 0.000 0.095
O 0.000 0.000 0.905
O 0.333 0.667 0.571
O 0.333 0.667 0.762
O 0.667 0.333 0.238
O 0.667 0.333 0.429
```

Computed properties:
Density of states at the Fermi level   0.481 states/eV/atom
Energy relative to the elements, uncorrected   -0.62 eV/atom
Crystal system   trigonal

***

# 7
First-principles (SCAN) data for a crystal of LaCu2Ni relaxed with PBEsol, as listed in Alexandria. Values from VASP.

Structure (Quantum ESPRESSO input):
```
&SYSTEM
  ibrav = 0, nat = 12, ntyp = 3
/
ATOMIC_SPECIES
La 138.91 La.upf
Cu 63.55 Cu.upf
Ni 58.69 Ni.upf
CELL_PARAMETERS angstrom
4.116 0.000 0.000
-2.058 3.565 0.000
0.000 0.000 14.144
ATOMIC_POSITIONS crystal
La 0.000 0.000 0.000
La 0.333 0.667 0.667
La 0.667 0.333 0.333
Cu 0.000 0.000 0.506
Cu 0.000 0.000 0.801
Cu 0.333 0.667 0.172
Cu 0.333 0.667 0.468
Cu 0.667 0.333 0.135
Cu 0.667 0.333 0.839
Ni 0.000 0.000 0.199
Ni 0.333 0.667 0.865
Ni 0.667 0.333 0.532
```

Computed properties:
Density of states at the Fermi level   0.466 states/eV/atom
Energy of formation from the pure elements   -0.20 eV/atom
Crystal system   trigonal

***

# 8
First-principles (SCAN) data for a crystal of LiMg30AlO32 relaxed with PBEsol, as listed in Alexandria. Values from VASP.

Structure (Quantum ESPRESSO input):
```
&SYSTEM
  ibrav = 0, nat = 64, ntyp = 4
/
ATOMIC_SPECIES
Li 6.94 Li.upf
Mg 24.30 Mg.upf
Al 26.98 Al.upf
O 16.00 O.upf
CELL_PARAMETERS angstrom
8.395 0.000 0.000
0.000 8.395 0.000
0.000 0.000 8.410
ATOMIC_POSITIONS crystal
Li 0.000 0.000 0.000
Mg 0.000 0.248 0.246
Mg 0.000 0.248 0.754
Mg 0.000 0.500 0.000
Mg 0.000 0.500 0.500
Mg 0.000 0.752 0.246
Mg 0.000 0.752 0.754
Mg 0.247 0.247 0.000
Mg 0.247 0.753 0.000
Mg 0.248 0.000 0.246
Mg 0.248 0.000 0.754
Mg 0.250 0.250 0.500
Mg 0.250 0.500 0.249
Mg 0.250 0.500 0.751
Mg 0.250 0.750 0.500
Mg 0.500 0.000 0.000
Mg 0.500 0.000 0.500
Mg 0.500 0.250 0.249
Mg 0.500 0.250 0.751
Mg 0.500 0.500 0.000
Mg 0.500 0.500 0.500
Mg 0.500 0.750 0.249
Mg 0.500 0.750 0.751
Mg 0.750 0.250 0.500
Mg 0.750 0.500 0.249
Mg 0.750 0.500 0.751
Mg 0.750 0.750 0.500
Mg 0.752 0.000 0.246
Mg 0.752 0.000 0.754
Mg 0.753 0.247 0.000
Mg 0.753 0.753 0.000
Al 0.000 0.000 0.500
O 0.000 0.000 0.273
O 0.000 0.000 0.727
O 0.000 0.237 0.500
O 0.000 0.253 0.000
O 0.000 0.500 0.253
O 0.000 0.500 0.747
O 0.000 0.747 0.000
O 0.000 0.763 0.500
O 0.237 0.000 0.500
O 0.248 0.500 0.500
O 0.250 0.250 0.251
O 0.250 0.250 0.749
O 0.250 0.500 0.000
O 0.250 0.750 0.251
O 0.250 0.750 0.749
O 0.253 0.000 0.000
O 0.500 0.000 0.253
O 0.500 0.000 0.747
O 0.500 0.248 0.500
O 0.500 0.250 0.000
O 0.500 0.500 0.251
O 0.500 0.500 0.749
O 0.500 0.750 0.000
O 0.500 0.752 0.500
O 0.747 0.000 0.000
O 0.750 0.250 0.251
O 0.750 0.250 0.749
O 0.750 0.500 0.000
O 0.750 0.750 0.251
O 0.750 0.750 0.749
O 0.752 0.500 0.500
O 0.763 0.000 0.500
```

Computed properties:
Density of states at the Fermi level   0.000 states/eV/atom
Energy relative to the elements, uncorrected   -3.01 eV/atom
Crystal system   tetragonal

***

# 9
First-principles (SCAN) data for a crystal of Nb2CdRu relaxed with PBEsol, as listed in Alexandria. Values from VASP.

Structure (Quantum ESPRESSO input):
```
&SYSTEM
  ibrav = 0, nat = 16, ntyp = 3
/
ATOMIC_SPECIES
Nb 92.91 Nb.upf
Cd 112.41 Cd.upf
Ru 101.07 Ru.upf
CELL_PARAMETERS angstrom
6.478 0.000 0.000
0.000 6.478 0.000
0.000 0.000 6.478
ATOMIC_POSITIONS crystal
Nb 0.250 0.250 0.250
Nb 0.250 0.250 0.750
Nb 0.250 0.750 0.250
Nb 0.250 0.750 0.750
Nb 0.750 0.250 0.250
Nb 0.750 0.250 0.750
Nb 0.750 0.750 0.250
Nb 0.750 0.750 0.750
Cd 0.000 0.000 0.000
Cd 0.000 0.500 0.500
Cd 0.500 0.000 0.500
Cd 0.500 0.500 0.000
Ru 0.000 0.000 0.500
Ru 0.000 0.500 0.000
Ru 0.500 0.000 0.000
Ru 0.500 0.500 0.500
```

Computed properties:
Density of states at the Fermi level   1.203 states/eV/atom
Energy of formation from the pure elements   0.25 eV/atom
Crystal system   cubic

***

# 10
First-principles (SCAN) data for a crystal of Ba2Na2Sr relaxed with PBEsol, as listed in Alexandria. Values from VASP.

Structure (Quantum ESPRESSO input):
```
&SYSTEM
  ibrav = 0, nat = 10, ntyp = 3
/
ATOMIC_SPECIES
Ba 137.33 Ba.upf
Na 22.99 Na.upf
Sr 87.62 Sr.upf
CELL_PARAMETERS angstrom
10.066 0.000 0.000
0.000 10.066 0.000
0.000 0.000 4.930
ATOMIC_POSITIONS crystal
Ba 0.175 0.325 0.000
Ba 0.325 0.825 0.000
Ba 0.675 0.175 0.000
Ba 0.825 0.675 0.000
Na 0.123 0.623 0.500
Na 0.377 0.123 0.500
Na 0.623 0.877 0.500
Na 0.877 0.377 0.500
Sr 0.000 0.000 0.500
Sr 0.500 0.500 0.500
```

Computed properties:
Density of states at the Fermi level   0.737 states/eV/atom
Energy of formation from the pure elements   0.01 eV/atom
Crystal system   tetragonal

***

| no. | theoretical density (kg/m3) | total magnetic moment (μB/f.u.) |
| --- | --- | --- |
| 1 | 12344 | 0.0 |
| 2 | 11456 | 2.7 |
| 3 | 3931 | 1.0 |
| 4 | 8679 | 9.6 |
| 5 | 7337 | 0.0 |
| 6 | 6196 | 0.0 |
| 7 | 7793 | 0.0 |
| 8 | 3572 | 0.0 |
| 9 | 9756 | 0.0 |
| 10 | 2714 | 0.0 |